[1]
Material: NaIn3Au
Method: DFT, PBEsol
State: optimized geometry

Cell and atoms, written as POSCAR:
```
NaIn3Au
1.0
5.279 0.000 0.000
0.000 5.279 0.000
0.000 0.000 5.279
Na In Au
1 3 1
Cartesian
0.000 0.000 0.000
0.000 0.000 2.640
0.000 2.640 0.000
2.640 0.000 0.000
2.640 2.640 2.640
```

## Properties
- space-group type = No. 221
- uncorrected energy (eV per atom) = -2.0889

[2]
Material: NaIn2Au2
Method: DFT, PBEsol
State: optimized geometry

Cell and atoms, written as POSCAR:
```
NaIn2Au2
1.0
-2.246 2.246 5.877
2.246 -2.246 5.877
2.246 2.246 -5.877
Na In Au
1 2 2
Cartesian
0.000 0.000 0.000
2.246 0.000 2.939
0.000 2.246 2.939
0.000 0.000 4.560
0.000 0.000 7.195
```

## Properties
- space-group type = No. 139
- polymorph energy (0 for the lowest one) (meV per atom) = 9

[3]
Material: NaIn2Au2
Method: DFT, PBEsol
State: optimized geometry

Cell and atoms, written as POSCAR:
```
NaIn2Au2
1.0
7.878 0.000 0.000
0.000 7.878 0.000
0.000 0.000 3.411
Na In Au
2 4 4
Cartesian
0.000 0.000 0.000
3.939 3.939 0.000
1.288 2.651 1.706
2.651 6.590 1.706
5.227 1.288 1.706
6.590 5.227 1.706
1.061 5.000 0.000
2.879 1.061 0.000
5.000 6.818 0.000
6.818 2.879 0.000
```

## Properties
- space-group type = No. 127
- polymorph energy (0 for the lowest one) (meV per atom) = 0

[4]
Material: NbIn2AuSe
Method: DFT, PBEsol
State: optimized geometry

Cell and atoms, written as POSCAR:
```
NbIn2AuSe
1.0
5.426 0.000 0.000
0.000 5.426 0.000
0.000 0.000 4.922
Nb In Au Se
1 2 1 1
Cartesian
0.000 0.000 0.000
0.000 2.713 0.000
2.713 0.000 0.000
0.000 0.000 2.461
2.713 2.713 2.461
```

## Properties
- uncorrected formation energy (eV/atom) = 0.915
- space-group type = No. 123

[5]
Material: Nd2InAu2
Method: DFT, PBEsol
State: optimized geometry

Cell and atoms, written as POSCAR:
```
Nd2InAu2
1.0
7.957 0.000 0.000
0.000 7.957 0.000
0.000 0.000 3.854
Nd In Au
4 2 4
Cartesian
1.375 2.603 0.000
2.603 6.582 0.000
5.354 1.375 0.000
6.582 5.354 0.000
0.000 0.000 1.927
3.978 3.978 1.927
1.011 4.990 1.927
2.967 1.011 1.927
4.990 6.946 1.927
6.946 2.967 1.927
```

## Properties
- space-group type = No. 127
- uncorrected energy (eV per atom) = -5.0156

[6]
Material: NdIn4Au2
Method: DFT, PBEsol
State: optimized geometry

Cell and atoms, written as POSCAR:
```
NdIn4Au2
1.0
18.383 0.000 0.000
0.000 4.603 0.000
0.000 0.000 7.385
Nd In Au
4 16 8
Cartesian
2.613 1.151 0.189
6.578 3.452 3.881
11.805 1.151 3.504
15.770 3.452 7.196
0.645 3.452 6.358
1.221 1.151 3.564
3.397 3.452 2.399
3.454 3.452 5.439
5.738 1.151 1.746
5.794 1.151 6.092
7.970 3.452 7.256
8.546 1.151 2.666
9.837 3.452 4.719
10.413 1.151 0.129
12.589 3.452 1.293
12.645 3.452 5.639
14.929 1.151 1.946
14.986 1.151 4.986
17.162 3.452 3.821
17.738 1.151 1.027
0.696 3.452 1.811
3.998 1.151 3.944
5.193 3.452 0.251
8.495 1.151 5.503
9.888 3.452 1.882
13.190 1.151 7.134
14.385 3.452 3.441
17.687 1.151 5.574
```

## Properties
- space-group type = No. 62
- uncorrected energy (eV per atom) = -4.0363

[7]
Material: NdInAu2
Method: DFT, PBEsol
State: optimized geometry

Cell and atoms, written as POSCAR:
```
NdInAu2
1.0
0.000 3.500 3.500
3.500 0.000 3.500
3.500 3.500 0.000
Nd In Au
1 1 2
Cartesian
0.000 0.000 0.000
3.500 3.500 3.500
1.750 1.750 1.750
5.251 5.251 5.251
```

## Properties
- space-group type = No. 225
- uncorrected energy (eV per atom) = -4.6967

[8]
Material: InNi2Au
Method: DFT, PBEsol
State: optimized geometry

Cell and atoms, written as POSCAR:
```
InNi2Au
1.0
3.059 0.000 0.000
0.000 3.059 0.000
0.000 0.000 6.137
In Ni Au
1 2 1
Cartesian
0.000 0.000 0.000
0.000 0.000 2.707
1.530 1.530 1.508
1.530 1.530 4.196
```

## Properties
- space-group type = No. 99
- uncorrected energy (eV per atom) = -4.8074

| no. | DOS at the Fermi energy (states/eV/f.u.) |
| --- | --- |
| 1 | 2.75 |
| 2 | 1.87 |
| 3 | 1.83 |
| 4 | 6.24 |
| 5 | 3.67 |
| 6 | 2.15 |
| 7 | 1.53 |
| 8 | 4.12 |